Entry 1:
An optimized crystal structure of Pr3TmPb2, computed with GGA-PBE.

Total moment   0.00 μB per formula unit
Theoretical density   8.89 g cm⁻³
ΔE_f   -0.3900 eV/atom

Unit cell a=8.623 b=8.623 c=4.548 alpha=90.00 beta=90.00 gamma=146.23
Fractional coordinates of all 6 atoms:
Pr (0.000, 0.000, 0.000)
Pr (0.324, 0.676, 0.000)
Pr (0.676, 0.324, 0.000)
Tm (0.500, 0.500, 0.500)
Pb (0.149, 0.851, 0.500)
Pb (0.851, 0.149, 0.500)

Entry 2:
An optimized crystal structure of Pr2TmPb, computed with GGA-PBE.

Total moment   0.00 μB per formula unit
Theoretical density   7.87 g cm⁻³
ΔE_f   0.0410 eV/atom

Unit cell a=12.507 b=12.507 c=12.507 alpha=16.58 beta=16.58 gamma=16.58
Fractional coordinates of all 4 atoms:
Pr (0.089, 0.089, 0.089)
Pr (0.911, 0.911, 0.911)
Tm (0.500, 0.500, 0.500)
Pb (0.000, 0.000, 0.000)

Entry 3:
An optimized crystal structure of Pr9TmPb2, computed with GGA-PBE.

Total moment   0.00 μB per formula unit
Theoretical density   7.77 g cm⁻³
ΔE_f   -0.2116 eV/atom

Unit cell a=5.053 b=5.053 c=15.500 alpha=90.00 beta=90.00 gamma=90.00
Fractional coordinates of all 12 atoms:
Pr (0.000, 0.000, 0.000)
Pr (0.000, 0.000, 0.337)
Pr (0.000, 0.000, 0.663)
Pr (0.000, 0.500, 0.172)
Pr (0.000, 0.500, 0.500)
Pr (0.000, 0.500, 0.828)
Pr (0.500, 0.000, 0.172)
Pr (0.500, 0.000, 0.500)
Pr (0.500, 0.000, 0.828)
Tm (0.500, 0.500, 0.000)
Pb (0.500, 0.500, 0.337)
Pb (0.500, 0.500, 0.663)

Entry 4:
An optimized crystal structure of Pr5TmPb5, computed with GGA-PBE.

Total moment   0.00 μB per formula unit
Theoretical density   8.37 g cm⁻³
ΔE_f   -0.3314 eV/atom

Unit cell a=9.040 b=9.040 c=7.411 alpha=104.65 beta=104.65 gamma=40.51
Fractional coordinates of all 11 atoms:
Pr (0.000, 0.000, 0.000)
Pr (0.323, 0.323, 0.211)
Pr (0.342, 0.342, 0.717)
Pr (0.658, 0.658, 0.283)
Pr (0.677, 0.677, 0.789)
Tm (0.000, 0.000, 0.500)
Pb (0.162, 0.162, 0.866)
Pb (0.164, 0.164, 0.397)
Pb (0.500, 0.500, 0.500)
Pb (0.836, 0.836, 0.603)
Pb (0.838, 0.838, 0.134)

Entry 5:
An optimized crystal structure of Pr6Tm8Pb, computed with GGA-PBE.

Total moment   0.00 μB per formula unit
Theoretical density   8.02 g cm⁻³
ΔE_f   0.0647 eV/atom

Unit cell a=9.484 b=9.484 c=6.392 alpha=90.00 beta=90.00 gamma=120.00
Fractional coordinates of all 15 atoms:
Pr (0.088, 0.639, 0.187)
Pr (0.361, 0.450, 0.187)
Pr (0.450, 0.088, 0.813)
Pr (0.550, 0.912, 0.187)
Pr (0.639, 0.550, 0.813)
Pr (0.912, 0.361, 0.813)
Tm (0.038, 0.776, 0.686)
Tm (0.224, 0.262, 0.686)
Tm (0.262, 0.038, 0.314)
Tm (0.333, 0.667, 0.671)
Tm (0.667, 0.333, 0.329)
Tm (0.738, 0.962, 0.686)
Tm (0.776, 0.738, 0.314)
Tm (0.962, 0.224, 0.314)
Pb (0.000, 0.000, 0.000)

Entry 6:
An optimized crystal structure of Pr2Tm5Pb4, computed with GGA-PBE.

Total moment   0.00 μB per formula unit
Theoretical density   9.20 g cm⁻³
ΔE_f   -0.1107 eV/atom

Unit cell a=13.762 b=13.762 c=7.318 alpha=92.07 beta=92.07 gamma=14.77
Fractional coordinates of all 11 atoms:
Pr (0.090, 0.090, 0.276)
Pr (0.910, 0.910, 0.724)
Tm (0.147, 0.147, 0.826)
Tm (0.238, 0.238, 0.200)
Tm (0.500, 0.500, 0.000)
Tm (0.762, 0.762, 0.800)
Tm (0.853, 0.853, 0.174)
Pb (0.037, 0.037, 0.678)
Pb (0.322, 0.322, 0.512)
Pb (0.678, 0.678, 0.488)
Pb (0.963, 0.963, 0.322)

Entry 7:
An optimized crystal structure of Pr2TmPb2, computed with GGA-PBE.

Total moment   0.00 μB per formula unit
Theoretical density   8.93 g cm⁻³
ΔE_f   -0.4715 eV/atom

Unit cell a=9.690 b=9.690 c=6.665 alpha=90.00 beta=90.00 gamma=149.08
Fractional coordinates of all 10 atoms:
Pr (0.000, 0.000, 0.000)
Pr (0.000, 0.000, 0.500)
Pr (0.195, 0.805, 0.751)
Pr (0.805, 0.195, 0.251)
Tm (0.398, 0.602, 0.750)
Tm (0.602, 0.398, 0.250)
Pb (0.186, 0.814, 0.251)
Pb (0.423, 0.577, 0.250)
Pb (0.577, 0.423, 0.750)
Pb (0.814, 0.186, 0.751)

Entry 8:
An optimized crystal structure of Pr4Tm4Pb7, computed with GGA-PBE.

Total moment   0.00 μB per formula unit
Theoretical density   9.63 g cm⁻³
ΔE_f   -0.4832 eV/atom

Unit cell a=12.124 b=12.124 c=12.124 alpha=94.59 beta=94.59 gamma=147.12
Fractional coordinates of all 30 atoms:
Pr (0.000, 0.188, 0.188)
Pr (0.000, 0.812, 0.812)
Pr (0.188, 0.000, 0.188)
Pr (0.368, 0.368, 0.737)
Pr (0.368, 0.632, 0.000)
Pr (0.632, 0.368, 0.000)
Pr (0.632, 0.632, 0.263)
Pr (0.812, 0.000, 0.812)
Tm (0.100, 0.600, 0.200)
Tm (0.100, 0.900, 0.500)
Tm (0.400, 0.600, 0.500)
Tm (0.400, 0.900, 0.800)
Tm (0.600, 0.100, 0.200)
Tm (0.600, 0.400, 0.500)
Tm (0.900, 0.100, 0.500)
Tm (0.900, 0.400, 0.800)
Pb (0.000, 0.404, 0.404)
Pb (0.000, 0.596, 0.596)
Pb (0.198, 0.198, 0.396)
Pb (0.198, 0.802, 0.000)
Pb (0.225, 0.500, 0.725)
Pb (0.247, 0.247, 0.000)
Pb (0.404, 0.000, 0.404)
Pb (0.500, 0.225, 0.725)
Pb (0.500, 0.775, 0.275)
Pb (0.596, 0.000, 0.596)
Pb (0.753, 0.753, 0.000)
Pb (0.775, 0.500, 0.275)
Pb (0.802, 0.198, 0.000)
Pb (0.802, 0.802, 0.604)

Repeat the seventh record exactly.
An optimized crystal structure of Pr2TmPb2, computed with GGA-PBE.

Total moment   0.00 μB per formula unit
Theoretical density   8.93 g cm⁻³
ΔE_f   -0.4715 eV/atom

Unit cell a=9.690 b=9.690 c=6.665 alpha=90.00 beta=90.00 gamma=149.08
Fractional coordinates of all 10 atoms:
Pr (0.000, 0.000, 0.000)
Pr (0.000, 0.000, 0.500)
Pr (0.195, 0.805, 0.751)
Pr (0.805, 0.195, 0.251)
Tm (0.398, 0.602, 0.750)
Tm (0.602, 0.398, 0.250)
Pb (0.186, 0.814, 0.251)
Pb (0.423, 0.577, 0.250)
Pb (0.577, 0.423, 0.750)
Pb (0.814, 0.186, 0.751)

Which value of theoretical density does entry 7 give?
8.93 g cm⁻³

Number 1 is which compound?
Pr3TmPb2